Compound: DyYRh
Source: Alexandria
Functional: PBE
Structure: relaxed

```
DyYRh
1.0
4.576 0.000 0.000
-2.288 3.963 0.000
0.000 0.000 4.070
Dy Y Rh
1 1 1
direct
0.000 0.000 0.000 Dy
0.667 0.333 0.530 Y
0.333 0.667 0.254 Rh
```

Summary:
Calculated formation energy = -9.019 kcal/mol of atoms
Energy relative to the lowest polymorph listed for this composition = 0.74 eV/f.u.
Density of states at the Fermi level = 3.02 states/eV/cell